# 1
Ni2MoRu after structural relaxation. Source: Alexandria, functional GGA-PBEsol.

Cell lengths 3.6128, 3.6128, 4.5459 Å; angles 113.41, 113.41, 90.00 degrees
Last column: nearest neighbours and their distance in Å.
Positions (direct):
Ni1 0.7500 0.2500 0.5000  4 Ni 2.55, 4 Mo 2.61, 4 Ru 2.61
Ni2 0.2500 0.7500 0.5000  4 Ni 2.55, 4 Mo 2.61, 4 Ru 2.61
Ru1 0.0000 0.0000 0.0000  4 Mo 2.55, 8 Ni 2.61
Mo1 0.5000 0.5000 0.0000  4 Ru 2.55, 8 Ni 2.61

Output
The density of states at the Fermi level comes out at 5.93 states/eV/cell.

***

# 2
NiMoRu after structural relaxation. Source: Alexandria, functional GGA-PBEsol.

Cell lengths 2.6312, 3.7756, 4.5648 Å; angles 114.43, 106.75, 90.00 degrees
Last column: nearest neighbours and their distance in Å.
Positions (direct):
Ni1 0.6699 0.6699 0.3397  5 Mo 2.62-2.66, 5 Ru 2.62-2.69, 2 Ni 2.63
Ru1 0.3286 0.3286 0.6571  5 Mo 2.58-2.68, 5 Ni 2.62-2.69, 2 Ru 2.63
Mo1 0.0016 0.0016 0.0032  5 Ru 2.58-2.68, 5 Ni 2.62-2.66, 2 Mo 2.63

Output
The density of states at the Fermi level comes out at 3.46 states/eV/cell.

***

# 3
Ni2MoRu after structural relaxation. Source: Alexandria, functional GGA-PBEsol.

Cell lengths 3.6712, 3.6693, 4.4869 Å; angles 114.13, 114.15, 90.00 degrees
Last column: nearest neighbours and their distance in Å.
Positions (direct):
Mo1 0.2500 0.7500 0.5000  4 Ru 2.59, 8 Ni 2.59-2.60
Ni1 0.0000 0.0000 0.0000  4 Ni 2.59, 4 Mo 2.59, 4 Ru 2.60
Ni2 0.7500 0.2500 0.5000  4 Ni 2.59, 4 Ru 2.59, 4 Mo 2.60
Ru1 0.5000 0.5000 0.0000  4 Mo 2.59, 8 Ni 2.59-2.60

Output
The density of states at the Fermi level comes out at 4.30 states/eV/cell.

***

| no. | DFT formation energy (eV per atom) |
| --- | --- |
| 1 | -0.013 |
| 2 | 0.025 |
| 3 | -0.038 |